No. 1
# BaRe2P PBE-GGA optimized geometry
# total magnetization: 0.00 μB per formula unit
# calculated total energy: -26.52 eV/f.u.
# Fermi-level density of states: 3.99 states/eV/f.u.
data_BaRe2P
_chemical_formula_sum 'Ba1 Re2 P1'
_space_group_name_H-M_alt 'P 4/m m m'
_space_group_IT_number 123
_space_group_name_Hall '-P 4 2'
_cell_length_a 3.970
_cell_length_b 3.970
_cell_length_c 5.285
_cell_angle_alpha 90.00
_cell_angle_beta 90.00
_cell_angle_gamma 90.00
loop_
_atom_site_label
_atom_site_fract_x
_atom_site_fract_y
_atom_site_fract_z
_atom_site_occupancy
Ba1 0.000 0.000 0.000 1
Re1 0.000 0.500 0.500 1
P1 0.500 0.500 0.000 1

No. 2
# ZnNiBr PBE-GGA optimized geometry
# total magnetization: 0.00 μB per formula unit
# ΔE_f (raw): 0.023 eV/atom
# Fermi-level density of states: 1.58 states/eV/f.u.
data_ZnNiBr
_chemical_formula_sum 'Zn1 Ni1 Br1'
_space_group_name_H-M_alt 'P 1 m 1'
_space_group_IT_number 6
_space_group_name_Hall 'P -2y'
_cell_length_a 3.517
_cell_length_b 4.637
_cell_length_c 3.557
_cell_angle_alpha 90.00
_cell_angle_beta 90.03
_cell_angle_gamma 90.00
loop_
_atom_site_label
_atom_site_fract_x
_atom_site_fract_y
_atom_site_fract_z
_atom_site_occupancy
Zn1 0.000 0.000 0.000 1
Ni1 0.507 0.000 0.499 1
Br1 0.383 0.500 0.507 1

> What is the formula in the first record?

BaRe2P

> total magnetization of number 1 (BaRe2P)?

0.00 μB per formula unit

> total magnetization of number 1 (BaRe2P)?

0.00 μB per formula unit